Record 1
# P2Ir3 (PBE, relaxed)
data_P2Ir3
_space_group_name_H-M_alt 'F d d 2'
_space_group_IT_number 43
_space_group_name_Hall 'F 2 -2d'
_cell_length_a 11.307
_cell_length_b 11.530
_cell_length_c 4.470
_cell_angle_alpha 90.00
_cell_angle_beta 90.00
_cell_angle_gamma 90.00
loop_
_atom_site_label
_atom_site_type_symbol
_atom_site_fract_x
_atom_site_fract_y
_atom_site_fract_z
_atom_site_occupancy
P1 P 0.074 0.206 0.000 1
Ir1 Ir 0.000 0.000 0.996 1
Ir2 Ir 0.055 0.137 0.503 1
# DOS(E_F) = 18.73 states/eV/cell
# formation enthalpy at 0 K = -0.206 eV per atom


Record 2
# ZnAgP2S (PBE, relaxed)
data_ZnAgP2S
_space_group_name_H-M_alt 'P 4/m m m'
_space_group_IT_number 123
_space_group_name_Hall '-P 4 2'
_cell_length_a 4.817
_cell_length_b 4.817
_cell_length_c 4.904
_cell_angle_alpha 90.00
_cell_angle_beta 90.00
_cell_angle_gamma 90.00
loop_
_atom_site_label
_atom_site_type_symbol
_atom_site_fract_x
_atom_site_fract_y
_atom_site_fract_z
_atom_site_occupancy
Zn1 Zn 0.000 0.000 0.000 1
Ag1 Ag 0.500 0.500 0.500 1
P1 P 0.000 0.500 0.500 1
S1 S 0.500 0.500 0.000 1
# DOS(E_F) = 4.45 states/eV/cell
# uncorrected formation energy = 1.1352 eV/atom
# relative energy among the computed polymorphs = 0.227 eV per atom


Record 3
# LuCuNiRu (PBE, relaxed)
data_LuCuNiRu
_space_group_name_H-M_alt 'F -4 3 m'
_space_group_IT_number 216
_space_group_name_Hall 'F -4 2 3'
_cell_length_a 6.239
_cell_length_b 6.239
_cell_length_c 6.239
_cell_angle_alpha 90.00
_cell_angle_beta 90.00
_cell_angle_gamma 90.00
loop_
_atom_site_label
_atom_site_type_symbol
_atom_site_fract_x
_atom_site_fract_y
_atom_site_fract_z
_atom_site_occupancy
Lu1 Lu 0.000 0.000 0.000 1
Cu1 Cu 0.250 0.250 0.750 1
Ni1 Ni 0.250 0.250 0.250 1
Ru1 Ru 0.000 0.000 0.500 1
# DOS(E_F) = 28.87 states/eV/cell
# formation enthalpy at 0 K = -0.063 eV per atom